The following is a DFT calculation (GGA-PBE) of crystalline CaNdNi2P2 at its relaxed geometry.

Properties
Energy of formation   -1.05 eV per atom
Density of states at the Fermi level   3.01 states/eV per cell

Cell and atoms, written as CIF:
```
data_CaNdNi2P2
_space_group_name_H-M_alt 'P -3 m 1'
_space_group_IT_number 164
_space_group_name_Hall '-P 3 2"'
_cell_length_a 3.9254
_cell_length_b 3.9254
_cell_length_c 8.1755
_cell_angle_alpha 90.00
_cell_angle_beta 90.00
_cell_angle_gamma 120.00
loop_
_atom_site_label
_atom_site_type_symbol
_atom_site_fract_x
_atom_site_fract_y
_atom_site_fract_z
Ca1 Ca 0.0000 0.0000 0.0000
Nd1 Nd 0.0000 0.0000 0.5000
Ni1 Ni 0.3333 0.6667 0.2522
P1 P 0.3333 0.6667 0.7493
```



The following is a DFT calculation (GGA-PBE) of crystalline CaNdNiPd at its relaxed geometry.

Properties
Energy of formation   -0.48 eV per atom
Polymorph energy (0 for the lowest one)   0.000 eV per atom
Density of states at the Fermi level   5.06 states/eV per cell

Cell and atoms, written as CIF:
```
data_CaNdNiPd
_space_group_name_H-M_alt 'A m m 2'
_space_group_IT_number 38
_cell_length_a 4.241
_cell_length_b 3.963
_cell_length_c 10.978
_cell_angle_alpha 90.00
_cell_angle_beta 90.00
_cell_angle_gamma 90.00
loop_
_space_group_symop_operation_xyz
'x,y,z'
'-x,-y,z'
'-x,y,z'
'x,-y,z'
'x,y+1/2,z+1/2'
'-x,-y+1/2,z+1/2'
'-x,y+1/2,z+1/2'
'x,-y+1/2,z+1/2'
loop_
_atom_site_label
_atom_site_type_symbol
_atom_site_fract_x
_atom_site_fract_y
_atom_site_fract_z
Ca1 Ca 0.000 0.000 0.000
Nd1 Nd 0.500 0.000 0.281
Ni1 Ni 0.000 0.000 0.718
Pd1 Pd 0.500 0.000 0.570
```



The following is a DFT calculation (GGA-PBE) of crystalline CaNdNiPd at its relaxed geometry.

Properties
Energy of formation   -0.42 eV per atom
Polymorph energy (0 for the lowest one)   0.063 eV per atom
Density of states at the Fermi level   9.38 states/eV per cell

Cell and atoms, written as CIF:
```
data_CaNdNiPd
_space_group_name_H-M_alt 'F -4 3 m'
_space_group_IT_number 216
_space_group_name_Hall 'F -4 2 3'
_cell_length_a 7.049
_cell_length_b 7.049
_cell_length_c 7.049
_cell_angle_alpha 90.00
_cell_angle_beta 90.00
_cell_angle_gamma 90.00
loop_
_atom_site_label
_atom_site_type_symbol
_atom_site_fract_x
_atom_site_fract_y
_atom_site_fract_z
Ca1 Ca 0.000 0.000 0.000
Nd1 Nd 0.000 0.000 0.500
Ni1 Ni 0.250 0.250 0.250
Pd1 Pd 0.250 0.250 0.750
```



The following is a DFT calculation (GGA-PBE) of crystalline CaNdNiPt at its relaxed geometry.

Properties
Energy of formation   -0.65 eV per atom
Polymorph energy (0 for the lowest one)   0.000 eV per atom
Density of states at the Fermi level   4.99 states/eV per cell

Cell and atoms, written as CIF:
```
data_CaNdNiPt
_space_group_name_H-M_alt 'A m m 2'
_space_group_IT_number 38
_cell_length_a 4.267
_cell_length_b 4.001
_cell_length_c 10.741
_cell_angle_alpha 90.00
_cell_angle_beta 90.00
_cell_angle_gamma 90.00
loop_
_space_group_symop_operation_xyz
'x,y,z'
'-x,-y,z'
'-x,y,z'
'x,-y,z'
'x,y+1/2,z+1/2'
'-x,-y+1/2,z+1/2'
'-x,y+1/2,z+1/2'
'x,-y+1/2,z+1/2'
loop_
_atom_site_label
_atom_site_type_symbol
_atom_site_fract_x
_atom_site_fract_y
_atom_site_fract_z
Ca1 Ca 0.000 0.000 0.000
Nd1 Nd 0.500 0.000 0.716
Ni1 Ni 0.000 0.000 0.287
Pt1 Pt 0.500 0.000 0.429
```



The following is a DFT calculation (GGA-PBE) of crystalline CaNdNiPt at its relaxed geometry.

Properties
Energy of formation   -0.58 eV per atom
Polymorph energy (0 for the lowest one)   0.069 eV per atom
Density of states at the Fermi level   8.50 states/eV per cell

Cell and atoms, written as CIF:
```
data_CaNdNiPt
_space_group_name_H-M_alt 'F -4 3 m'
_space_group_IT_number 216
_space_group_name_Hall 'F -4 2 3'
_cell_length_a 7.020
_cell_length_b 7.020
_cell_length_c 7.020
_cell_angle_alpha 90.00
_cell_angle_beta 90.00
_cell_angle_gamma 90.00
loop_
_atom_site_label
_atom_site_type_symbol
_atom_site_fract_x
_atom_site_fract_y
_atom_site_fract_z
Ca1 Ca 0.000 0.000 0.000
Nd1 Nd 0.000 0.000 0.500
Ni1 Ni 0.250 0.250 0.250
Pt1 Pt 0.250 0.250 0.750
```



The following is a DFT calculation (GGA-PBE) of crystalline CaNdNiRh at its relaxed geometry.

Properties
Energy of formation   -0.40 eV per atom
Polymorph energy (0 for the lowest one)   0.000 eV per atom
Density of states at the Fermi level   3.47 states/eV per cell

Cell and atoms, written as CIF:
```
data_CaNdNiRh
_space_group_name_H-M_alt 'A m m 2'
_space_group_IT_number 38
_cell_length_a 4.146
_cell_length_b 4.075
_cell_length_c 10.665
_cell_angle_alpha 90.00
_cell_angle_beta 90.00
_cell_angle_gamma 90.00
loop_
_space_group_symop_operation_xyz
'x,y,z'
'-x,-y,z'
'-x,y,z'
'x,-y,z'
'x,y+1/2,z+1/2'
'-x,-y+1/2,z+1/2'
'-x,y+1/2,z+1/2'
'x,-y+1/2,z+1/2'
loop_
_atom_site_label
_atom_site_type_symbol
_atom_site_fract_x
_atom_site_fract_y
_atom_site_fract_z
Ca1 Ca 0.000 0.000 0.000
Nd1 Nd 0.500 0.000 0.715
Ni1 Ni 0.500 0.000 0.423
Rh1 Rh 0.000 0.000 0.290
```



The following is a DFT calculation (GGA-PBE) of crystalline CaNdNiRh at its relaxed geometry.

Properties
Energy of formation   -0.32 eV per atom
Polymorph energy (0 for the lowest one)   0.085 eV per atom
Density of states at the Fermi level   14.90 states/eV per cell

Cell and atoms, written as CIF:
```
data_CaNdNiRh
_space_group_name_H-M_alt 'F -4 3 m'
_space_group_IT_number 216
_space_group_name_Hall 'F -4 2 3'
_cell_length_a 6.956
_cell_length_b 6.956
_cell_length_c 6.956
_cell_angle_alpha 90.00
_cell_angle_beta 90.00
_cell_angle_gamma 90.00
loop_
_atom_site_label
_atom_site_type_symbol
_atom_site_fract_x
_atom_site_fract_y
_atom_site_fract_z
Ca1 Ca 0.000 0.000 0.000
Nd1 Nd 0.000 0.000 0.500
Ni1 Ni 0.250 0.250 0.250
Rh1 Rh 0.250 0.250 0.750
```



The following is a DFT calculation (GGA-PBE) of crystalline CaNdSiNi at its relaxed geometry.

Properties
Energy relative to the elements, uncorrected   -0.48 eV per atom
Density of states at the Fermi level   13.49 states/eV per cell

Cell and atoms, written as CIF:
```
data_CaNdSiNi
_space_group_name_H-M_alt 'R 3 m'
_space_group_IT_number 160
_space_group_name_Hall 'R 3 -2"'
_cell_length_a 4.0315
_cell_length_b 4.0315
_cell_length_c 22.4281
_cell_angle_alpha 90.00
_cell_angle_beta 90.00
_cell_angle_gamma 120.00
loop_
_atom_site_label
_atom_site_type_symbol
_atom_site_fract_x
_atom_site_fract_y
_atom_site_fract_z
Ca1 Ca 0.0000 0.0000 0.0000
Nd1 Nd 0.0000 0.0000 0.1737
Si1 Si 0.0000 0.0000 0.4223
Ni1 Ni 0.0000 0.0000 0.7541
```



The following is a DFT calculation (GGA-PBE) of crystalline CaNdZnNi at its relaxed geometry.

Properties
Energy of formation   -0.25 eV per atom
Polymorph energy (0 for the lowest one)   0.000 eV per atom
Density of states at the Fermi level   5.10 states/eV per cell

Cell and atoms, written as CIF:
```
data_CaNdZnNi
_space_group_name_H-M_alt 'A m m 2'
_space_group_IT_number 38
_cell_length_a 4.038
_cell_length_b 4.046
_cell_length_c 11.741
_cell_angle_alpha 90.00
_cell_angle_beta 90.00
_cell_angle_gamma 90.00
loop_
_space_group_symop_operation_xyz
'x,y,z'
'-x,-y,z'
'-x,y,z'
'x,-y,z'
'x,y+1/2,z+1/2'
'-x,-y+1/2,z+1/2'
'-x,y+1/2,z+1/2'
'x,-y+1/2,z+1/2'
loop_
_atom_site_label
_atom_site_type_symbol
_atom_site_fract_x
_atom_site_fract_y
_atom_site_fract_z
Ca1 Ca 0.000 0.000 0.000
Nd1 Nd 0.500 0.000 0.286
Zn1 Zn 0.500 0.000 0.585
Ni1 Ni 0.000 0.000 0.720
```



The following is a DFT calculation (GGA-PBE) of crystalline CaNdZnNi at its relaxed geometry.

Properties
Energy of formation   -0.20 eV per atom
Polymorph energy (0 for the lowest one)   0.057 eV per atom
Density of states at the Fermi level   9.60 states/eV per cell

Cell and atoms, written as CIF:
```
data_CaNdZnNi
_space_group_name_H-M_alt 'F -4 3 m'
_space_group_IT_number 216
_space_group_name_Hall 'F -4 2 3'
_cell_length_a 7.119
_cell_length_b 7.119
_cell_length_c 7.119
_cell_angle_alpha 90.00
_cell_angle_beta 90.00
_cell_angle_gamma 90.00
loop_
_atom_site_label
_atom_site_type_symbol
_atom_site_fract_x
_atom_site_fract_y
_atom_site_fract_z
Ca1 Ca 0.000 0.000 0.000
Nd1 Nd 0.000 0.000 0.500
Zn1 Zn 0.250 0.250 0.750
Ni1 Ni 0.250 0.250 0.250
```



The following is a DFT calculation (GGA-PBE) of crystalline CaNd2NpO8 at its relaxed geometry.

Properties
Energy relative to the elements, uncorrected   -2.84 eV per atom
Density of states at the Fermi level   7.07 states/eV per cell

Cell and atoms, written as CIF:
```
data_CaNd2NpO8
_space_group_name_H-M_alt 'P 1 2/m 1'
_space_group_IT_number 10
_cell_length_a 4.063
_cell_length_b 7.740
_cell_length_c 5.397
_cell_angle_alpha 90.00
_cell_angle_beta 94.71
_cell_angle_gamma 90.00
loop_
_space_group_symop_operation_xyz
'x,y,z'
'-x,-y,-z'
'-x,y,-z'
'x,-y,z'
loop_
_atom_site_label
_atom_site_type_symbol
_atom_site_fract_x
_atom_site_fract_y
_atom_site_fract_z
Ca1 Ca 0.000 0.000 0.000
Nd1 Nd 0.500 0.253 0.500
Np1 Np 0.000 0.500 0.000
O1 O 0.034 0.291 0.765
O2 O 0.447 0.500 0.221
O3 O 0.500 0.000 0.253
```



The following is a DFT calculation (GGA-PBE) of crystalline CaNdNpO6 at its relaxed geometry.

Properties
Energy relative to the elements, uncorrected   -2.94 eV per atom

Cell and atoms, written as CIF:
```
data_CaNdNpO6
_space_group_name_H-M_alt 'P -3 1 c'
_space_group_IT_number 163
_space_group_name_Hall '-P 3 2c'
_cell_length_a 5.7879
_cell_length_b 5.7879
_cell_length_c 9.7007
_cell_angle_alpha 90.00
_cell_angle_beta 90.00
_cell_angle_gamma 120.00
loop_
_atom_site_label
_atom_site_type_symbol
_atom_site_fract_x
_atom_site_fract_y
_atom_site_fract_z
Ca1 Ca 0.3333 0.6667 0.2500
Nd1 Nd 0.0000 0.0000 0.0000
Np1 Np 0.3333 0.6667 0.7500
O1 O 0.0410 0.3698 0.6363
```



Calculated density across the listed records, respectively: 5.54, 6.29, 6.63, 7.94, 8.41, 6.38, 6.83, 4.28, 5.34, 5.68, 6.81, 6.10 g/cm³.
Total magnetization across the listed records, respectively: 0.00, 0.00, 0.00, 0.00, 0.00, 0.00, 0.00, 0.00, 0.00, 0.00, 0.96, 0.00 μB/f.u..
Electronic total energy across the listed records, respectively: -5.909, -4.919, -4.856, -5.293, -5.225, -5.378, -5.293, -4.973, -3.709, -3.652, -8.183, -8.437 eV per atom.